VASP calculation (GGA-PBE) on a relaxed structure of Cs3HgI6.

The structure in CIF format:
```
data_Cs3HgI6
_symmetry_space_group_name_H-M 'P 1'
_symmetry_Int_Tables_number 1
_cell_length_a 9.278
_cell_length_b 9.278
_cell_length_c 9.273
_cell_angle_alpha 59.98
_cell_angle_beta 59.98
_cell_angle_gamma 90.00
loop_
_symmetry_equiv_pos_as_xyz
'x,y,z'
loop_
_atom_site_label
_atom_site_type_symbol
_atom_site_fract_x
_atom_site_fract_y
_atom_site_fract_z
Cs1 Cs 0.250 0.750 0.500
Cs2 Cs 0.500 0.500 0.000
Cs3 Cs 0.750 0.250 0.500
I1 I 0.772 0.772 0.000
I2 I 0.773 0.773 0.455
I3 I 0.228 0.772 0.000
I4 I 0.228 0.228 0.000
I5 I 0.227 0.227 0.545
I6 I 0.772 0.228 0.000
Hg1 Hg 0.000 0.000 0.000
```

Calculated values
Crystal system: tetragonal
Formation energy without anion corrections (eV per atom): -0.87
Distance to the lowest polymorph of the same formula (meV/atom): 151
Size of the total moment (μB per atom): 0.001